Density functional theory data (PBE) for a geometry-optimized Be6Os structure.

Summary:
- relative energy among the computed polymorphs (eV per formula unit) = 0.00
- SG = Pnma (62)
- energy (eV per atom) = -5.00
- energy of formation from the pure elements (eV/atom) = -0.2053
- V (Å³ per atom) = 8.53
- total magnetic moment (μB per atom) = 0.00

Lattice parameters (Å, degrees): 4.2298 6.8694 8.2213 90.00 90.00 90.00
Closest atoms and distances in Å follow each position.
Element x y z (fractional)
Be1 0.7500 0.5987 0.0199  6 Be 2.04-2.19
Be2 0.2500 0.4013 0.9801  6 Be 2.04-2.19
Be3 0.7500 0.0987 0.4801  6 Be 2.04-2.19
Be4 0.2500 0.9013 0.5199  6 Be 2.04-2.19
Be5 0.0050 0.4397 0.1931  9 Be 2.04-2.27
Be6 0.5050 0.5603 0.8069  9 Be 2.04-2.27
Be7 0.4950 0.9397 0.3069  9 Be 2.04-2.27
Be8 0.9950 0.0603 0.6931  9 Be 2.04-2.27
Be9 0.9950 0.5603 0.8069  9 Be 2.04-2.27
Be10 0.4950 0.4397 0.1931  9 Be 2.04-2.27
Be11 0.5050 0.0603 0.6931  9 Be 2.04-2.27
Be12 0.0050 0.9397 0.3069  9 Be 2.04-2.27
Be13 0.2500 0.1517 0.1456  6 Be 2.02-2.27
Be14 0.7500 0.8483 0.8544  6 Be 2.02-2.27
Be15 0.2500 0.6517 0.3544  6 Be 2.02-2.27
Be16 0.7500 0.3483 0.6456  6 Be 2.02-2.27
Be17 0.2500 0.8034 0.7537  7 Be 2.04-2.23
Be18 0.7500 0.1966 0.2463  7 Be 2.04-2.23
Be19 0.2500 0.3034 0.7463  7 Be 2.04-2.23
Be20 0.7500 0.6966 0.2537  7 Be 2.04-2.23
Be21 0.2500 0.5484 0.5850  5 Be 2.02-2.23
Be22 0.7500 0.4516 0.4150  5 Be 2.02-2.23
Be23 0.2500 0.0484 0.9150  5 Be 2.02-2.23
Be24 0.7500 0.9516 0.0850  5 Be 2.02-2.23
Os1 0.7500 0.2578 0.9277  14 Be 2.37-2.65
Os2 0.2500 0.7422 0.0723  14 Be 2.37-2.65
Os3 0.7500 0.7578 0.5723  14 Be 2.37-2.65
Os4 0.2500 0.2422 0.4277  14 Be 2.37-2.65

Density functional theory data (PBE) for a geometry-optimized LiCu2Ni structure.

Summary:
- relative energy among the computed polymorphs (eV per formula unit) = 0.13
- SG = C2/m (12)
- energy (eV per atom) = -3.98
- energy of formation from the pure elements (eV/atom) = -0.0128
- V (Å³ per atom) = 11.70
- total magnetic moment (μB per atom) = 0.00

Lattice parameters (Å, degrees): 4.4158 4.4158 4.4575 81.77 81.77 32.98
Closest atoms and distances in Å follow each position.
Element x y z (fractional)
Ni1 0.2500 0.2500 0.2500  2 Ni 2.51, 6 Cu 2.51-2.58, 4 Li 2.56
Cu1 0.9927 0.9927 0.0059  3 Li 2.50-2.62, 6 Cu 2.51-2.59, 3 Ni 2.51-2.58
Cu2 0.5073 0.5073 0.4941  3 Li 2.50-2.62, 6 Cu 2.51-2.59, 3 Ni 2.51-2.58
Li1 0.7500 0.7500 0.7500  6 Cu 2.50-2.62, 2 Li 2.51, 4 Ni 2.56